# 1
The following is a PBE calculation of a relaxed Tb4Sm2Ge3H2 crystal, from Alexandria via LeMat-Bulk.

a = 12.3007 Å, b = 12.3007 Å, c = 12.3007 Å
α = 158.56°, β = 158.56°, γ = 30.50°
Closest atoms and distances in Å follow each position.
Element x y z (fractional)
Tb (0.0801, 0.5801, 0.5000)  2 H 2.33
Tb (0.4199, 0.9199, 0.5000)  2 H 2.33
Tb (0.5801, 0.0801, 0.5000)  2 H 2.33
Tb (0.9199, 0.4199, 0.5000)  2 H 2.33
Sm (0.2013, 0.2013, 0.0000)  1 H 2.44
Sm (0.7987, 0.7987, 0.0000)  1 H 2.44
Ge (0.3292, 0.3292, 0.0000)  5 Sm 3.04-3.32, 4 Tb 3.14
Ge (0.5000, 0.5000, 0.0000)  8 Tb 2.98
Ge (0.6708, 0.6708, 0.0000)  5 Sm 3.04-3.32, 4 Tb 3.14
H (0.0987, 0.0987, 0.0000)  4 Tb 2.33, 1 Sm 2.44
H (0.9013, 0.9013, 0.0000)  4 Tb 2.33, 1 Sm 2.44

Results
calculated volume: 248.5 Å³/cell
space-group type: I4/mmm, No. 139
E_tot: -55.2 eV/cell
N(E_F): 10.2 states/eV/cell

***

# 2
The following is a PBE calculation of a relaxed Sm8Ge3Te4H crystal, from Alexandria via LeMat-Bulk.

a = 8.7066 Å, b = 8.7066 Å, c = 8.7066 Å
α = 58.93°, β = 58.93°, γ = 58.93°
Closest atoms and distances in Å follow each position.
Element x y z (fractional)
Sm (0.2352, 0.7449, 0.7449)  2 Ge 2.93, 1 H 2.99, 3 Te 3.12-3.18
Sm (0.2413, 0.2413, 0.2413)  3 Ge 2.95, 3 Te 3.17
Sm (0.2551, 0.2551, 0.7648)  2 Ge 2.93, 1 H 2.99, 3 Te 3.12-3.18
Sm (0.2551, 0.7648, 0.2551)  2 Ge 2.93, 1 H 2.99, 3 Te 3.12-3.18
Sm (0.7449, 0.2352, 0.7449)  2 Ge 2.93, 1 H 2.99, 3 Te 3.12-3.18
Sm (0.7449, 0.7449, 0.2352)  2 Ge 2.93, 1 H 2.99, 3 Te 3.12-3.18
Sm (0.7587, 0.7587, 0.7587)  3 Ge 2.95, 3 Te 3.17
Sm (0.7648, 0.2551, 0.2551)  2 Ge 2.93, 1 H 2.99, 3 Te 3.12-3.18
Ge (0.0000, 0.0000, 0.5000)  6 Sm 2.93-2.95
Ge (0.0000, 0.5000, 0.0000)  6 Sm 2.93-2.95
Ge (0.5000, 0.0000, 0.0000)  6 Sm 2.93-2.95
Te (0.0000, 0.0000, 0.0000)  6 Sm 3.12
Te (0.0000, 0.5000, 0.5000)  6 Sm 3.17-3.18
Te (0.5000, 0.0000, 0.5000)  6 Sm 3.17-3.18
Te (0.5000, 0.5000, 0.0000)  6 Sm 3.17-3.18
H (0.5000, 0.5000, 0.5000)  6 Sm 2.99

Results
calculated volume: 455.3 Å³/cell
space-group type: R-3m, No. 166
E_tot: -85.0 eV/cell
N(E_F): 5.8 states/eV/cell

***

# 3
The following is a PBE calculation of a relaxed Sm2Y4Ge3H2 crystal, from Alexandria via LeMat-Bulk.

a = 12.2534 Å, b = 12.2534 Å, c = 12.2534 Å
α = 158.47°, β = 158.47°, γ = 30.64°
Closest atoms and distances in Å follow each position.
Element x y z (fractional)
Sm (0.2012, 0.2012, 0.0000)  1 H 2.43
Sm (0.7988, 0.7988, 0.0000)  1 H 2.43
Y (0.0802, 0.5802, 0.5000)  2 H 2.33
Y (0.4198, 0.9198, 0.5000)  2 H 2.33
Y (0.5802, 0.0802, 0.5000)  2 H 2.33
Y (0.9198, 0.4198, 0.5000)  2 H 2.33
Ge (0.3297, 0.3297, 0.0000)  5 Sm 3.04-3.32, 4 Y 3.13
Ge (0.5000, 0.5000, 0.0000)  8 Y 2.97
Ge (0.6703, 0.6703, 0.0000)  5 Sm 3.04-3.32, 4 Y 3.13
H (0.0982, 0.0982, 0.0000)  4 Y 2.33, 1 Sm 2.43
H (0.9018, 0.9018, 0.0000)  4 Y 2.33, 1 Sm 2.43

Results
calculated volume: 247.7 Å³/cell
space-group type: I4/mmm, No. 139
E_tot: -62.7 eV/cell
N(E_F): 10.7 states/eV/cell

***

Which of these has the highest E_tot?
Tb4Sm2Ge3H2

***

What is the formula in the third record?
Sm2Y4Ge3H2